[1]
AcTePt | GGA-PBE | optimized geometry

abc: 6.3720 6.3720 6.3720
angles: 136.70 95.01 100.66
Positions (direct):
Ac 0.0000 0.0000 0.0000
Ac 0.5267 0.0267 0.5000
Te 0.4175 0.6721 0.7454
Te 0.9266 0.6721 0.2546
Pt 0.1452 0.3379 0.8073
Pt 0.5306 0.3379 0.1927

- ρ: 11.09 Mg/m³
- E above lowest polymorph: 0.0 kJ per mole of atoms
- Raw formation energy: -1.141 eV per atom

=====

[2]
Cu2Si2Ni | GGA-PBE | optimized geometry

abc: 5.9188 5.9188 3.7088
angles: 90.00 90.00 90.00
Positions (direct):
Cu 0.1602 0.3398 0.0000
Cu 0.3398 0.8398 0.0000
Cu 0.6602 0.1602 0.0000
Cu 0.8398 0.6602 0.0000
Si 0.1426 0.6426 0.5000
Si 0.3574 0.1426 0.5000
Si 0.6426 0.8574 0.5000
Si 0.8574 0.3574 0.5000
Ni 0.0000 0.0000 0.5000
Ni 0.5000 0.5000 0.5000

- ρ: 6.18 Mg/m³
- E above lowest polymorph: 0.0 kJ per mole of atoms
- Raw formation energy: -0.037 eV per atom

=====

[3]
Er2TmAu3 | GGA-PBE | optimized geometry

abc: 5.0381 5.0381 12.3691
angles: 90.00 90.00 120.00
Positions (direct):
Er 0.0000 0.0000 0.0000
Er 0.0000 0.0000 0.5000
Er 0.3333 0.6667 0.1672
Er 0.6667 0.3333 0.8328
Tm 0.3333 0.6667 0.6665
Tm 0.6667 0.3333 0.3335
Au 0.0000 0.0000 0.2507
Au 0.0000 0.0000 0.7493
Au 0.3333 0.6667 0.4167
Au 0.3333 0.6667 0.9161
Au 0.6667 0.3333 0.0839
Au 0.6667 0.3333 0.5833

- ρ: 13.37 Mg/m³
- E above lowest polymorph: 0.3 kJ per mole of atoms
- ΔE_f: -0.886 eV/atom

=====

[4]
Ag12As5Au3 | GGA-PBE | optimized geometry

abc: 13.3933 13.3933 13.3933
angles: 109.47 109.47 109.47
Positions (direct):
Ag 0.0572 0.2235 0.1379
Ag 0.0572 0.3336 0.9192
Ag 0.0808 0.6379 0.4144
Ag 0.0808 0.9428 0.6664
Ag 0.0856 0.7235 0.6664
Ag 0.0856 0.8621 0.4192
Ag 0.1379 0.0572 0.2235
Ag 0.1379 0.5808 0.9144
Ag 0.1664 0.2235 0.5856
Ag 0.1664 0.4428 0.5808
Ag 0.2235 0.1379 0.0572
Ag 0.2235 0.5856 0.1664
Ag 0.2765 0.3336 0.9144
Ag 0.2765 0.4428 0.3621
Ag 0.3336 0.9144 0.2765
Ag 0.3336 0.9192 0.0572
Ag 0.3621 0.2765 0.4428
Ag 0.3621 0.5856 0.9192
Ag 0.4144 0.0808 0.6379
Ag 0.4144 0.8336 0.7765
Ag 0.4192 0.0856 0.8621
Ag 0.4192 0.8336 0.5572
Ag 0.4428 0.3621 0.2765
Ag 0.4428 0.5808 0.1664
Ag 0.5572 0.4192 0.8336
Ag 0.5572 0.6379 0.7235
Ag 0.5808 0.1664 0.4428
Ag 0.5808 0.9144 0.1379
Ag 0.5856 0.1664 0.2235
Ag 0.5856 0.9192 0.3621
Ag 0.6379 0.4144 0.0808
Ag 0.6379 0.7235 0.5572
Ag 0.6664 0.0808 0.9428
Ag 0.6664 0.0856 0.7235
Ag 0.7235 0.5572 0.6379
Ag 0.7235 0.6664 0.0856
Ag 0.7765 0.4144 0.8336
Ag 0.7765 0.8621 0.9428
Ag 0.8336 0.5572 0.4192
Ag 0.8336 0.7765 0.4144
Ag 0.8621 0.4192 0.0856
Ag 0.8621 0.9428 0.7765
Ag 0.9144 0.1379 0.5808
Ag 0.9144 0.2765 0.3336
Ag 0.9192 0.0572 0.3336
Ag 0.9192 0.3621 0.5856
Ag 0.9428 0.6664 0.0808
Ag 0.9428 0.7765 0.8621
As 0.0000 0.0000 0.0000
As 0.0000 0.0000 0.5000
As 0.0000 0.5000 0.0000
As 0.0000 0.5000 0.5000
As 0.1250 0.7500 0.8750
As 0.1250 0.8750 0.2500
As 0.2500 0.1250 0.8750
As 0.2500 0.6250 0.3750
As 0.3750 0.2500 0.6250
As 0.3750 0.6250 0.7500
As 0.5000 0.0000 0.0000
As 0.5000 0.0000 0.5000
As 0.5000 0.5000 0.0000
As 0.5000 0.5000 0.5000
As 0.6250 0.3750 0.2500
As 0.6250 0.7500 0.3750
As 0.7500 0.3750 0.6250
As 0.7500 0.8750 0.1250
As 0.8750 0.1250 0.7500
As 0.8750 0.2500 0.1250
Au 0.1250 0.2500 0.3750
Au 0.1250 0.3750 0.7500
Au 0.2500 0.3750 0.1250
Au 0.2500 0.8750 0.6250
Au 0.3750 0.1250 0.2500
Au 0.3750 0.7500 0.1250
Au 0.6250 0.2500 0.8750
Au 0.6250 0.8750 0.7500
Au 0.7500 0.1250 0.3750
Au 0.7500 0.6250 0.8750
Au 0.8750 0.6250 0.2500
Au 0.8750 0.7500 0.6250

- ρ: 8.12 Mg/m³
- ΔE_f: 0.322 eV/atom

=====

[5]
Pa2CuSbN5 | GGA-PBE | optimized geometry

abc: 6.9915 6.9915 10.0937
angles: 90.00 90.00 152.39
Positions (direct):
Pa 0.1022 0.8978 0.5000
Pa 0.1329 0.8671 0.1218
Pa 0.8671 0.1329 0.6218
Pa 0.8978 0.1022 0.0000
Cu 0.4958 0.5042 0.2927
Cu 0.5042 0.4958 0.7927
Sb 0.1942 0.8058 0.8239
Sb 0.8058 0.1942 0.3239
N 0.0424 0.9576 0.8879
N 0.2876 0.7124 0.4910
N 0.3055 0.6945 0.1823
N 0.3516 0.6484 0.8282
N 0.4920 0.5080 0.5985
N 0.5080 0.4920 0.0985
N 0.6484 0.3516 0.3282
N 0.6945 0.3055 0.6823
N 0.7124 0.2876 0.9910
N 0.9576 0.0424 0.3879

- ρ: 10.42 Mg/m³
- Raw formation energy: -0.490 eV per atom